Crystalline Sc2CdPt9 at its relaxed geometry. Source: Alexandria via LeMat-Bulk, functional PBE.

Unit cell a=4.014 b=4.014 c=12.088 alpha=90.00 beta=90.00 gamma=90.00
Space group P4/mmm (No. 123)
One atom of each set of equivalent atoms:
Sc1 0.000 0.000 0.167 [2 per cell]
Cd1 0.000 0.000 0.500 [1 per cell]
Pt1 0.000 0.500 0.000 [2 per cell]
Pt2 0.000 0.500 0.328 [4 per cell]
Pt3 0.500 0.500 0.164 [2 per cell]
Pt4 0.500 0.500 0.500 [1 per cell]

Summary:
Energy of formation from the pure elements = -775 meV per atom

=====

Crystalline HfAgPt2 at its relaxed geometry. Source: Alexandria via LeMat-Bulk, functional PBE.

Unit cell a=7.330 b=7.330 c=5.666 alpha=90.00 beta=90.00 gamma=90.00
Space group I-42d (No. 122)
One atom of each set of equivalent atoms:
Hf1 0.000 0.000 0.000 [4 per cell]
Ag1 0.000 0.000 0.500 [4 per cell]
Pt1 0.234 0.750 0.125 [8 per cell]

Summary:
Energy of formation from the pure elements = -347 meV per atom

=====

Crystalline Tb7Bi2Rh2 at its relaxed geometry. Source: Alexandria via LeMat-Bulk, functional PBE.

Unit cell a=8.684 b=10.703 c=7.223 alpha=90.00 beta=90.00 gamma=90.00
Space group Cmmm (No. 65)
One atom of each set of equivalent atoms:
Tb1 0.000 0.000 0.000 [2 per cell]
Tb2 0.000 0.500 0.230 [4 per cell]
Tb3 0.250 0.250 0.240 [8 per cell]
Bi1 0.201 0.000 0.500 [4 per cell]
Rh1 0.000 0.278 0.000 [4 per cell]

Summary:
Energy above the most stable polymorph in this dataset = 132 meV per atom
Energy of formation from the pure elements = -503 meV per atom

=====

Crystalline KTi4O7 at its relaxed geometry. Source: Alexandria via LeMat-Bulk, functional PBE.

Unit cell a=13.811 b=5.484 c=5.547 alpha=90.00 beta=90.00 gamma=90.00
Space group Pmn2_1 (No. 31)
One atom of each set of equivalent atoms:
K1 0.000 0.141 0.000 [2 per cell]
Ti1 0.126 0.810 0.548 [4 per cell]
Ti2 0.246 0.652 0.117 [4 per cell]
O1 0.000 0.737 0.632 [2 per cell]
O2 0.131 0.813 0.215 [4 per cell]
O3 0.153 0.132 0.637 [4 per cell]
O4 0.204 0.635 0.782 [4 per cell]

Summary:
Uncorrected formation energy = -2.690 eV per atom

=====

Crystalline CdTc2Cl at its relaxed geometry. Source: Alexandria via LeMat-Bulk, functional PBE.

Unit cell a=10.540 b=2.846 c=7.491 alpha=90.00 beta=127.59 gamma=90.00
Space group C2/m (No. 12)
One atom of each set of equivalent atoms:
Cd1 0.000 0.000 0.000 [2 per cell]
Tc1 0.213 0.000 0.840 [4 per cell]
Cl1 0.000 0.500 0.500 [2 per cell]

Summary:
Energy above the most stable polymorph in this dataset = 521 meV per atom
Uncorrected formation energy = 0.508 eV per atom

=====

Crystalline Mg9Si5 at its relaxed geometry. Source: Alexandria via LeMat-Bulk, functional PBE.

Unit cell a=7.916 b=8.102 c=10.747 alpha=73.51 beta=76.29 gamma=61.49
Space group P1 (No. 1)
One atom of each set of equivalent atoms:
Mg1 0.000 0.000 0.000 [1 per cell]
Mg2 0.013 0.200 0.693 [1 per cell]
Mg3 0.022 0.325 0.131 [1 per cell]
Mg4 0.041 0.111 0.426 [1 per cell]
Mg5 0.064 0.635 0.901 [1 per cell]
Mg6 0.197 0.568 0.207 [1 per cell]
Mg7 0.303 0.182 0.861 [1 per cell]
Mg8 0.356 0.709 0.428 [1 per cell]
Mg9 0.447 0.961 0.554 [1 per cell]
Mg10 0.459 0.046 0.232 [1 per cell]
Mg11 0.545 0.475 0.816 [1 per cell]
Mg12 0.574 0.298 0.387 [1 per cell]
Mg13 0.616 0.756 0.924 [1 per cell]
Mg14 0.644 0.345 0.097 [1 per cell]
Mg15 0.731 0.021 0.690 [1 per cell]
Mg16 0.812 0.554 0.373 [1 per cell]
Mg17 0.857 0.916 0.324 [1 per cell]
Mg18 0.887 0.631 0.632 [1 per cell]
Si1 0.136 0.808 0.647 [1 per cell]
Si2 0.184 0.373 0.470 [1 per cell]
Si3 0.198 0.922 0.205 [1 per cell]
Si4 0.287 0.855 0.806 [1 per cell]
Si5 0.319 0.438 0.635 [1 per cell]
Si6 0.358 0.338 0.028 [1 per cell]
Si7 0.538 0.667 0.188 [1 per cell]
Si8 0.660 0.385 0.581 [1 per cell]
Si9 0.809 0.764 0.131 [1 per cell]
Si10 0.896 0.396 0.888 [1 per cell]

Summary:
Energy above the most stable polymorph in this dataset = 141 meV per atom
Uncorrected formation energy = 0.028 eV per atom

=====

Crystalline Zr2Co5Ni5 at its relaxed geometry. Source: Alexandria via LeMat-Bulk, functional PBE.

Unit cell a=3.998 b=4.694 c=8.272 alpha=90.00 beta=90.00 gamma=90.00
Space group Pmmm (No. 47)
One atom of each set of equivalent atoms:
Zr1 0.000 0.000 0.000 [1 per cell]
Zr2 0.000 0.500 0.500 [1 per cell]
Co1 0.500 0.000 0.500 [1 per cell]
Co2 0.500 0.252 0.254 [4 per cell]
Ni1 0.000 0.000 0.332 [2 per cell]
Ni2 0.000 0.500 0.166 [2 per cell]
Ni3 0.500 0.500 0.000 [1 per cell]

Summary:
Energy of formation from the pure elements = -206 meV per atom

=====

Crystalline LaCe4Se7 at its relaxed geometry. Source: Alexandria via LeMat-Bulk, functional PBE.

Unit cell a=14.030 b=4.141 c=12.471 alpha=90.00 beta=104.93 gamma=90.00
Space group Cm (No. 8)
One atom of each set of equivalent atoms:
La1 0.000 0.000 0.000 [2 per cell]
Ce1 0.115 0.000 0.422 [2 per cell]
Ce2 0.228 0.000 0.841 [2 per cell]
Ce3 0.314 0.500 0.235 [2 per cell]
Ce4 0.415 0.000 0.610 [2 per cell]
Se1 0.071 0.000 0.636 [2 per cell]
Se2 0.116 0.500 0.919 [2 per cell]
Se3 0.158 0.000 0.209 [2 per cell]
Se4 0.273 0.500 0.473 [2 per cell]
Se5 0.352 0.500 0.770 [2 per cell]
Se6 0.372 0.000 0.072 [2 per cell]
Se7 0.457 0.000 0.371 [2 per cell]

Summary:
Uncorrected formation energy = -1.831 eV per atom

=====

Crystalline Na2SnS at its relaxed geometry. Source: Alexandria via LeMat-Bulk, functional PBE.

Unit cell a=8.366 b=8.366 c=5.899 alpha=90.00 beta=90.00 gamma=90.00
Space group I-42d (No. 122)
One atom of each set of equivalent atoms:
Na1 0.183 0.250 0.125 [8 per cell]
Sn1 0.000 0.000 0.500 [4 per cell]
S1 0.000 0.000 0.000 [4 per cell]

Summary:
Energy above the most stable polymorph in this dataset = 226 meV per atom
Uncorrected formation energy = -0.358 eV per atom

=====

Crystalline Pa2Fe3Ir at its relaxed geometry. Source: Alexandria via LeMat-Bulk, functional PBE.

Unit cell a=8.723 b=5.006 c=5.260 alpha=90.00 beta=123.62 gamma=90.00
Space group C2/m (No. 12)
One atom of each set of equivalent atoms:
Pa1 0.124 0.000 0.371 [4 per cell]
Fe1 0.000 0.500 0.000 [2 per cell]
Fe2 0.250 0.250 0.000 [4 per cell]
Ir1 0.000 0.500 0.500 [2 per cell]

Summary:
Energy of formation from the pure elements = -377 meV per atom

=====

Crystalline Pr12AlSi6 at its relaxed geometry. Source: Alexandria via LeMat-Bulk, functional PBE.

Unit cell a=10.361 b=10.361 c=10.361 alpha=90.00 beta=90.00 gamma=90.00
Space group Im-3 (No. 204)
One atom of each set of equivalent atoms:
Pr1 0.000 0.296 0.188 [24 per cell]
Al1 0.000 0.000 0.000 [2 per cell]
Si1 0.000 0.113 0.500 [12 per cell]

Summary:
Uncorrected formation energy = -0.478 eV per atom

=====

Crystalline Dy6AuC3 at its relaxed geometry. Source: Alexandria via LeMat-Bulk, functional PBE.

Unit cell a=10.900 b=3.633 c=11.352 alpha=90.00 beta=108.62 gamma=90.00
Space group P2_1/m (No. 11)
One atom of each set of equivalent atoms:
Dy1 0.035 0.250 0.376 [2 per cell]
Dy2 0.140 0.750 0.132 [2 per cell]
Dy3 0.255 0.250 0.670 [2 per cell]
Dy4 0.319 0.750 0.433 [2 per cell]
Dy5 0.362 0.750 0.949 [2 per cell]
Dy6 0.443 0.250 0.236 [2 per cell]
Au1 0.132 0.250 0.890 [2 per cell]
C1 0.152 0.750 0.531 [2 per cell]
C2 0.236 0.250 0.285 [2 per cell]
C3 0.464 0.250 0.854 [2 per cell]

Summary:
Energy of formation from the pure elements = -367 meV per atom

=====

Crystalline PrAsPd at its relaxed geometry. Source: Alexandria via LeMat-Bulk, functional PBE.

Unit cell a=4.3960 b=4.3960 c=15.8658 alpha=90.00 beta=90.00 gamma=120.00
Space group P6_3/mmc (No. 194)
One atom of each set of equivalent atoms:
Pr1 0.0000 0.0000 0.0000 [2 per cell]
Pr2 0.0000 0.0000 0.2500 [2 per cell]
As1 0.3333 0.6667 0.1200 [4 per cell]
Pd1 0.3333 0.6667 0.6307 [4 per cell]

Summary:
Energy of formation from the pure elements = -1180 meV per atom

=====

Crystalline Tb3Dy2In at its relaxed geometry. Source: Alexandria via LeMat-Bulk, functional PBE.

Unit cell a=4.878 b=15.089 c=4.868 alpha=90.00 beta=90.00 gamma=90.00
Space group Cmmm (No. 65)
One atom of each set of equivalent atoms:
Tb1 0.000 0.000 0.000 [2 per cell]
Tb2 0.000 0.332 0.000 [4 per cell]
Dy1 0.000 0.162 0.500 [4 per cell]
In1 0.000 0.500 0.500 [2 per cell]

Summary:
Energy above the most stable polymorph in this dataset = 0 meV per atom
Energy of formation from the pure elements = -160 meV per atom